This record from Alexandria via LeMat-Bulk describes a relaxed HfNbH2 crystal. The functional is PBE-GGA.

Properties
total DFT energy (no corrections): -27.58 eV/f.u.
Fermi-level density of states: 4.17 states/eV/cell
space group: No. 122
excess energy over the best structure of this formula in the dataset: 0 meV per atom

abc: 4.305 4.305 5.877
angles: 68.51 68.51 90.00
Fractional coordinates of all 8 atoms:
H1 0.608 0.125 0.250
H2 0.142 0.625 0.250
H3 0.375 0.392 0.750
H4 0.875 0.858 0.750
Nb1 0.500 0.500 0.000
Nb2 0.250 0.750 0.500
Hf1 0.000 0.000 0.000
Hf2 0.750 0.250 0.500

This record from Alexandria via LeMat-Bulk describes a relaxed CePm4Ho15 crystal. The functional is PBE-GGA.

Properties
total DFT energy (no corrections): -93.02 eV/f.u.
formation energy: 0.03 eV per atom
Fermi-level density of states: 28.03 states/eV/cell
space group: No. 123

abc: 5.029 5.029 25.012
angles: 90.00 90.00 90.00
Site moments in Bohr magnetons follow the coordinates.
Fractional coordinates of all 20 atoms:
Ce1 0.000 0.000 0.000  -0.70
Pm1 0.000 0.000 0.199  0.02
Pm2 0.000 0.000 0.400  0.01
Pm3 0.000 0.000 0.600  0.01
Pm4 0.000 0.000 0.801  0.02
Ho1 0.500 0.500 0.000  -0.06
Ho2 0.500 0.500 0.200  0.02
Ho3 0.500 0.500 0.400  0.01
Ho4 0.500 0.500 0.600  0.01
Ho5 0.500 0.500 0.800  0.02
Ho6 0.500 0.000 0.098  -0.02
Ho7 0.500 0.000 0.299  -0.01
Ho8 0.500 0.000 0.500  0.00
Ho9 0.500 0.000 0.701  -0.01
Ho10 0.500 0.000 0.902  -0.02
Ho11 0.000 0.500 0.098  -0.02
Ho12 0.000 0.500 0.299  -0.01
Ho13 0.000 0.500 0.500  0.00
Ho14 0.000 0.500 0.701  -0.01
Ho15 0.000 0.500 0.902  -0.02

This record from Alexandria via LeMat-Bulk describes a relaxed Sr2SeO4 crystal. The functional is PBE-GGA.

Properties
total DFT energy (no corrections): -40.80 eV/f.u.
Fermi-level density of states: 0.00 states/eV/cell
space group: No. 11
uncorrected formation energy: -2.017 eV per atom

abc: 6.502 5.358 7.846
angles: 90.00 95.33 90.00
Fractional coordinates of all 14 atoms:
Sr1 0.654 0.750 0.132
Sr2 0.346 0.250 0.868
Sr3 0.056 0.250 0.351
Sr4 0.944 0.750 0.649
Se1 0.152 0.750 0.088
Se2 0.848 0.250 0.912
O1 0.298 0.501 0.168
O2 0.247 0.750 0.880
O3 0.753 0.250 0.120
O4 0.298 0.999 0.168
O5 0.058 0.250 0.654
O6 0.702 0.001 0.832
O7 0.702 0.499 0.832
O8 0.942 0.750 0.346

This record from Alexandria via LeMat-Bulk describes a relaxed BP3 crystal. The functional is PBE-GGA.

Properties
total DFT energy (no corrections): -22.78 eV/f.u.
formation energy: 0.03 eV per atom
Fermi-level density of states: 0.74 states/eV/cell
space group: No. 156
excess energy over the best structure of this formula in the dataset: 22 meV per atom

abc: 3.315 3.315 6.183
angles: 90.00 90.00 120.00
Fractional coordinates of all 4 atoms:
P1 0.000 0.000 0.179
P2 0.333 0.667 0.782
P3 0.667 0.333 0.368
B1 0.667 0.333 0.685

This record from Alexandria via LeMat-Bulk describes a relaxed Ho5Tm12Pu crystal. The functional is PBE-GGA.

Properties
total DFT energy (no corrections): -90.44 eV/f.u.
formation energy: 0.02 eV per atom
Fermi-level density of states: 29.57 states/eV/cell
space group: No. 12

abc: 6.071 6.068 17.055
angles: 86.59 83.17 59.98
Site moments in Bohr magnetons follow the coordinates.
Fractional coordinates of all 18 atoms:
Ho1 0.500 0.000 0.500  0.04
Ho2 0.167 0.667 0.500  0.04
Ho3 0.833 0.333 0.500  0.04
Ho4 0.667 0.667 0.000  0.11
Ho5 0.333 0.333 0.000  0.11
Tm1 0.889 0.000 0.331  -0.07
Tm2 0.111 0.000 0.669  -0.07
Tm3 0.727 0.000 0.835  0.01
Tm4 0.273 0.000 0.165  0.01
Tm5 0.385 0.671 0.835  0.01
Tm6 0.944 0.671 0.165  0.01
Tm7 0.056 0.329 0.835  0.01
Tm8 0.615 0.329 0.165  0.01
Tm9 0.444 0.333 0.670  -0.03
Tm10 0.778 0.667 0.670  -0.03
Tm11 0.222 0.333 0.330  -0.03
Tm12 0.556 0.667 0.330  -0.03
Pu1 0.000 0.000 0.000  5.55

This record from Alexandria via LeMat-Bulk describes a relaxed ZrH2Cl crystal. The functional is PBE-GGA.

Properties
total DFT energy (no corrections): -18.67 eV/f.u.
Fermi-level density of states: 4.06 states/eV/cell
space group: No. 122
excess energy over the best structure of this formula in the dataset: 0 meV per atom

abc: 3.865 3.865 7.337
angles: 74.73 74.73 90.00
Fractional coordinates of all 8 atoms:
H1 0.874 0.125 0.250
H2 0.876 0.625 0.250
H3 0.375 0.126 0.750
H4 0.875 0.124 0.750
Zr1 0.000 0.000 0.000
Zr2 0.750 0.250 0.500
Cl1 0.500 0.500 0.000
Cl2 0.250 0.750 0.500

This record from Alexandria via LeMat-Bulk describes a relaxed CoNiAs2Pd2 crystal. The functional is PBE-GGA.

Properties
total DFT energy (no corrections): -34.61 eV/f.u.
formation energy: -0.34 eV per atom
Fermi-level density of states: 5.81 states/eV/cell
space group: No. 72

abc: 5.269 5.322 7.169
angles: 111.79 111.56 90.00
Fractional coordinates of all 12 atoms:
Co1 0.500 0.750 0.000
Co2 0.500 0.250 0.000
Ni1 0.000 0.750 0.000
Ni2 0.000 0.250 0.000
As1 0.858 0.118 0.236
As2 0.377 0.618 0.236
As3 0.623 0.382 0.764
As4 0.142 0.882 0.764
Pd1 0.425 0.180 0.360
Pd2 0.575 0.820 0.640
Pd3 0.065 0.320 0.640
Pd4 0.935 0.680 0.360

This record from Alexandria via LeMat-Bulk describes a relaxed BePt4Br crystal. The functional is PBE-GGA.

Properties
total DFT energy (no corrections): -26.00 eV/f.u.
Fermi-level density of states: 6.24 states/eV/cell
space group: No. 216
uncorrected formation energy: 0.594 eV per atom

abc: 5.329 5.329 5.329
angles: 60.00 60.00 60.00
Fractional coordinates of all 6 atoms:
Be1 0.750 0.750 0.750
Pt1 0.873 0.376 0.376
Pt2 0.376 0.376 0.873
Pt3 0.376 0.873 0.376
Pt4 0.376 0.376 0.376
Br1 0.000 0.000 0.000